<1>
KAcF2 after structural relaxation, computed with PBE.

The space group is R-3m (No. 166, hexagonal axes) and the conventional cell measures 3.7268, 3.7268 and 21.4748 Å, with angles of 90.00, 90.00 and 120.00 degrees. The asymmetric unit holds K at (0.0000, 0.0000, 0.0000), Ac at (0.0000, 0.0000, 0.5000) and F at (0.0000, 0.0000, 0.2590).



<2>
KAcF2 after structural relaxation, computed with PBE.

The space group is P4/mmm (No. 123) and the conventional cell measures 3.392, 3.392 and 7.624 Å, with angles of 90.00, 90.00 and 90.00 degrees. The asymmetric unit holds K at (0.000, 0.000, 0.000), Ac at (0.000, 0.000, 0.500) and F at (0.500, 0.500, 0.212).



Comparing the structures above, <1> comes out on top by 397 meV per atom.